Record 1
HfNbN2O: PBEsol geometry, meta-GGA SCAN.

V	62	Å³/cell
space group	P4/mmm
ΔE_f (raw)	-0.82	eV per atom
total magnetic moment	0.00	μB per formula unit
electronic total energy	-24.94	eV/atom

Lattice parameters (Å, degrees): 3.814 4.039 4.039 90.00 90.00 90.00
Positions (direct):
Nb (0.000, 0.000, 0.000)
Hf (0.500, 0.500, 0.500)
O (0.500, 0.000, 0.000)
N (0.000, 0.000, 0.500)
N (0.000, 0.500, 0.000)



Record 2
AlHgOs2: PBEsol geometry, meta-GGA SCAN.

V	61	Å³/cell
relative energy among the computed polymorphs	0	meV/atom
space group	Cm
total magnetic moment	0.00	μB per formula unit
electronic total energy	-54.55	eV/atom
energy relative to the elements	374.0	meV/atom

Lattice parameters (Å, degrees): 2.879 4.775 4.759 100.01 90.00 107.55
Positions (direct):
Os (0.010, 0.021, 0.036)
Os (0.750, 0.500, 0.233)
Hg (0.250, 0.500, 0.738)
Al (0.489, 0.979, 0.493)



Record 3
InSe2: PBEsol geometry, meta-GGA SCAN.

V	144	Å³/cell
space group	Cmcm
ΔE_f (raw)	-0.44	eV per atom
total magnetic moment	0.00	μB per formula unit
electronic total energy	-24.95	eV/atom

Lattice parameters (Å, degrees): 3.975 5.292 7.138 90.00 106.17 90.00
Positions (direct):
Se (0.199, 0.750, 0.399)
Se (0.483, 0.750, 0.965)
Se (0.517, 0.250, 0.035)
Se (0.801, 0.250, 0.601)
In (0.841, 0.750, 0.682)
In (0.159, 0.250, 0.318)